1.
CuReS2 after structural relaxation, computed with GGA-PBE.

Geometry as extended XYZ:
```
4
Lattice="1.849 0.000 7.490 -0.925 1.602 7.490 -0.925 -1.602 7.490" Properties=species:S:1:pos:R:3 pbc="T T T"
Re 0.000 0.000 11.235
S 0.000 0.000 20.285
S 0.000 0.000 2.184
Cu 0.000 0.000 0.000
```

Computed properties:
E above lowest polymorph: 0 kJ/mol of formula units
Raw total energy: -6.2339 eV per atom
E_form (uncorrected): -0.03 eV per atom
N(E_F): 2.19 states/eV/f.u.


2.
ZnTcN2O after structural relaxation, computed with GGA-PBE.

Geometry as extended XYZ:
```
5
Lattice="-0.335 3.885 0.352 -3.894 -0.353 0.194 0.220 -0.327 3.822" Properties=species:S:1:pos:R:3 pbc="T T T"
Zn -2.005 1.602 2.184
Tc 0.000 0.000 0.000
O 0.110 -0.164 1.911
N -1.947 -0.177 0.097
N -0.168 1.942 0.176
```

Computed properties:
Raw total energy: -6.3336 eV per atom
E_form (uncorrected): 0.32 eV per atom
N(E_F): 3.14 states/eV/f.u.


3.
ZrTeRu3 after structural relaxation, computed with GGA-PBE.

Geometry as extended XYZ:
```
5
Lattice="4.728 0.000 0.000 0.000 4.728 0.000 0.000 0.000 4.728" Properties=species:S:1:pos:R:3 pbc="T T T"
Ru 0.000 2.364 0.000
Ru 0.000 0.000 2.364
Ru 2.364 0.000 0.000
Te 0.000 0.000 0.000
Zr 2.364 2.364 2.364
```

Computed properties:
E above lowest polymorph: 0 kJ/mol of formula units
Raw total energy: -6.8696 eV per atom
E_form (uncorrected): 1.03 eV per atom
N(E_F): 1.69 states/eV/f.u.